Below is crystalline MnCu3O at its relaxed geometry, with properties calculated at the PBE with a Hubbard U level.

Density of states at the Fermi level   2.3 states/eV/f.u.
Total moment   1.19 μB/atom
ΔE to the lowest computed polymorph   1377 meV per atom
E   -3.4238 eV/atom

Cell lengths 4.597, 4.597, 4.597 Å; angles 90.00, 90.00, 90.00 degrees
Last column: magnetic moment on the atom in μB.
Element x y z (fractional)
Mn: 0.000 0.000 0.000  4.31
O: 0.500 0.500 0.500  0.81
Cu: 0.000 0.500 0.000  0.18
Cu: 0.000 0.000 0.500  0.25
Cu: 0.500 0.000 0.000  0.11